# 1
! NbZnCo3 (meta-GGA SCAN, PBEsol geometry); values from VASP
! formation energy: 769 kJ/mol of formula units
! total magnetic moment: 2.1 μB/f.u.
! DFT total energy: -90.6 eV for the cell shown
&SYSTEM
  ibrav = 0, nat = 5, ntyp = 3
/
ATOMIC_SPECIES
Zn 65.41 Zn.upf
Co 58.93 Co.upf
Nb 92.91 Nb.upf
ATOMIC_POSITIONS crystal
Zn 0.500 0.500 0.500
Co 0.000 0.500 0.000
Co 0.000 0.000 0.500
Co 0.500 0.000 0.000
Nb 0.000 0.000 0.000
CELL_PARAMETERS angstrom
-1.079 4.202 0.476
-2.382 -1.009 3.514
3.493 0.609 2.543

---

# 2
! K6Ti2S6O (meta-GGA SCAN, PBEsol geometry); values from VASP
! total magnetic moment: 0.0 μB/f.u.
! formation energy from raw total energies: -1.75 eV per atom
! DFT total energy: -688.9 eV for the cell shown
&SYSTEM
  ibrav = 0, nat = 60, ntyp = 4
/
ATOMIC_SPECIES
S 32.06 S.upf
K 39.10 K.upf
O 16.00 O.upf
Ti 47.87 Ti.upf
ATOMIC_POSITIONS crystal
S 0.649 0.158 0.508
S 0.427 0.560 0.376
S 0.851 0.658 0.508
S 0.558 0.944 0.143
S 0.272 0.196 0.223
S 0.772 0.304 0.777
S 0.352 0.345 0.966
S 0.228 0.696 0.223
S 0.648 0.655 0.034
S 0.169 0.165 0.754
S 0.058 0.556 0.857
S 0.148 0.845 0.966
S 0.852 0.155 0.034
S 0.927 0.940 0.624
S 0.331 0.665 0.754
S 0.442 0.056 0.857
S 0.073 0.060 0.376
S 0.149 0.342 0.492
S 0.831 0.835 0.246
S 0.942 0.444 0.143
S 0.351 0.842 0.492
S 0.728 0.804 0.777
S 0.669 0.335 0.246
S 0.573 0.440 0.624
K 0.237 0.437 0.202
K 0.763 0.563 0.798
K 0.953 0.172 0.594
K 0.263 0.937 0.202
K 0.523 0.161 0.085
K 0.547 0.672 0.594
K 0.330 0.103 0.533
K 0.216 0.916 0.716
K 0.716 0.584 0.284
K 0.477 0.839 0.915
K 0.977 0.661 0.085
K 0.284 0.416 0.716
K 0.842 0.896 0.006
K 0.830 0.397 0.467
K 0.023 0.339 0.915
K 0.737 0.063 0.798
K 0.047 0.828 0.406
K 0.170 0.603 0.533
K 0.453 0.328 0.406
K 0.342 0.604 0.994
K 0.670 0.897 0.467
K 0.784 0.084 0.284
K 0.658 0.396 0.006
K 0.158 0.104 0.994
O 0.456 0.243 0.715
O 0.044 0.743 0.715
O 0.956 0.257 0.285
O 0.544 0.757 0.285
Ti 0.392 0.717 0.340
Ti 0.892 0.783 0.660
Ti 0.632 0.794 0.179
Ti 0.368 0.206 0.821
Ti 0.868 0.294 0.179
Ti 0.132 0.706 0.821
Ti 0.108 0.217 0.340
Ti 0.608 0.283 0.660
CELL_PARAMETERS angstrom
10.257 0.000 0.000
0.000 12.885 0.031
0.000 -3.586 12.750

---

# 3
! Na2Y2B2O7 (meta-GGA SCAN, PBEsol geometry); values from VASP
! total magnetic moment: 0.0 μB/f.u.
! formation energy from raw total energies: -3.07 eV per atom
! DFT total energy: -650.2 eV for the cell shown
&SYSTEM
  ibrav = 0, nat = 52, ntyp = 4
/
ATOMIC_SPECIES
Na 22.99 Na.upf
O 16.00 O.upf
Y 88.91 Y.upf
B 10.81 B.upf
ATOMIC_POSITIONS crystal
Na 0.731 0.050 0.612
Na 0.269 0.950 0.388
Na 0.943 0.739 0.476
Na 0.769 0.550 0.612
Na 0.057 0.261 0.524
Na 0.557 0.239 0.476
Na 0.231 0.450 0.388
Na 0.443 0.761 0.524
O 0.854 0.335 0.368
O 0.248 0.633 0.316
O 0.240 0.228 0.148
O 0.265 0.635 0.834
O 0.374 0.404 0.027
O 0.765 0.865 0.166
O 0.740 0.272 0.852
O 0.665 0.556 0.398
O 0.874 0.096 0.973
O 0.456 0.915 0.852
O 0.044 0.415 0.852
O 0.760 0.772 0.852
O 0.835 0.056 0.398
O 0.646 0.835 0.368
O 0.752 0.367 0.684
O 0.544 0.085 0.148
O 0.626 0.596 0.973
O 0.956 0.585 0.148
O 0.335 0.444 0.602
O 0.735 0.365 0.166
O 0.354 0.165 0.632
O 0.146 0.665 0.632
O 0.126 0.904 0.027
O 0.748 0.867 0.684
O 0.260 0.728 0.148
O 0.252 0.133 0.316
O 0.235 0.135 0.834
O 0.165 0.944 0.602
Y 0.961 0.683 0.984
Y 0.082 0.914 0.818
Y 0.418 0.414 0.818
Y 0.539 0.183 0.984
Y 0.582 0.586 0.182
Y 0.918 0.086 0.182
Y 0.039 0.317 0.016
Y 0.461 0.817 0.016
B 0.748 0.918 0.315
B 0.346 0.147 0.206
B 0.252 0.082 0.685
B 0.752 0.418 0.315
B 0.654 0.853 0.794
B 0.846 0.353 0.794
B 0.154 0.647 0.206
B 0.248 0.582 0.685
CELL_PARAMETERS angstrom
6.201 0.000 0.000
0.000 10.180 -0.011
0.000 -4.896 9.347

---

# 4
! NiHgS2 (meta-GGA SCAN, PBEsol geometry); values from VASP
! total magnetic moment: 0.0 μB/f.u.
! formation energy from raw total energies: -0.23 eV per atom
! DFT total energy: -104.5 eV for the cell shown
&SYSTEM
  ibrav = 0, nat = 4, ntyp = 3
/
ATOMIC_SPECIES
Ni 58.69 Ni.upf
Hg 200.59 Hg.upf
S 32.06 S.upf
ATOMIC_POSITIONS crystal
Ni 0.500 0.500 0.500
Hg 0.000 0.000 0.000
S 0.116 0.116 0.652
S 0.884 0.884 0.348
CELL_PARAMETERS angstrom
3.354 0.000 0.000
1.677 2.904 0.000
1.677 0.968 7.564

---

# 5
! La3Ag2 (meta-GGA SCAN, PBEsol geometry); values from VASP
! relative energy among the computed polymorphs: 30.5 meV/atom
! formation energy: -64 kJ/mol of formula units
! total magnetic moment: 0.0 μB/f.u.
! DFT total energy: -192.7 eV for the cell shown
&SYSTEM
  ibrav = 0, nat = 5, ntyp = 2
/
ATOMIC_SPECIES
La 138.91 La.upf
Ag 107.87 Ag.upf
ATOMIC_POSITIONS crystal
La 0.376 0.376 0.751
La 0.624 0.624 0.249
La 0.000 0.000 0.000
Ag 0.218 0.218 0.436
Ag 0.782 0.782 0.564
CELL_PARAMETERS angstrom
3.667 0.000 0.000
0.000 3.667 0.000
-1.834 -1.834 10.043

---

# 6
! BeMo3Cl (meta-GGA SCAN, PBEsol geometry); values from VASP
! total magnetic moment: 0.0 μB/f.u.
! formation energy from raw total energies: 1.25 eV per atom
! DFT total energy: -110.8 eV for the cell shown
&SYSTEM
  ibrav = 0, nat = 5, ntyp = 3
/
ATOMIC_SPECIES
Be 9.01 Be.upf
Mo 95.94 Mo.upf
Cl 35.45 Cl.upf
ATOMIC_POSITIONS crystal
Be 0.500 0.500 0.500
Mo 0.000 0.500 0.000
Mo 0.500 0.000 0.000
Mo 0.000 0.000 0.500
Cl 0.000 0.000 0.000
CELL_PARAMETERS angstrom
-0.765 -2.533 -3.400
-0.667 -3.339 2.639
-4.187 0.995 0.201

---

# 7
! Rb3CoO2 (meta-GGA SCAN, PBEsol geometry); values from VASP
! total magnetic moment: 2.0 μB/f.u.
! formation energy from raw total energies: -1.21 eV per atom
! DFT total energy: -396.9 eV for the cell shown
&SYSTEM
  ibrav = 0, nat = 24, ntyp = 3
/
ATOMIC_SPECIES
O 16.00 O.upf
Rb 85.47 Rb.upf
Co 58.93 Co.upf
ATOMIC_POSITIONS crystal
O 0.487 0.250 0.714
O 0.413 0.750 0.972
O 0.987 0.750 0.786
O 0.513 0.750 0.286
O 0.013 0.250 0.214
O 0.087 0.750 0.472
O 0.587 0.250 0.028
O 0.913 0.250 0.528
Rb 0.682 0.499 0.862
Rb 0.285 0.250 0.400
Rb 0.318 0.501 0.138
Rb 0.682 0.001 0.862
Rb 0.715 0.750 0.600
Rb 0.818 0.499 0.362
Rb 0.182 0.999 0.638
Rb 0.182 0.501 0.638
Rb 0.818 0.001 0.362
Rb 0.215 0.250 0.900
Rb 0.785 0.750 0.100
Rb 0.318 0.999 0.138
Co 0.805 0.250 0.118
Co 0.305 0.750 0.382
Co 0.195 0.750 0.882
Co 0.695 0.250 0.618
CELL_PARAMETERS angstrom
6.119 0.000 0.000
0.000 7.631 0.000
0.000 0.000 12.162

---

# 8
! Te3PdPb (meta-GGA SCAN, PBEsol geometry); values from VASP
! total magnetic moment: 2.1 μB/f.u.
! formation energy from raw total energies: 1.05 eV per atom
! DFT total energy: -215.1 eV for the cell shown
&SYSTEM
  ibrav = 0, nat = 5, ntyp = 3
/
ATOMIC_SPECIES
Pd 106.42 Pd.upf
Te 127.60 Te.upf
Pb 207.20 Pb.upf
ATOMIC_POSITIONS crystal
Pd 0.500 0.500 0.500
Te 0.000 0.500 0.000
Te 0.000 0.000 0.500
Te 0.500 0.000 0.000
Pb 0.000 0.000 0.000
CELL_PARAMETERS angstrom
-0.403 -4.844 -2.944
-1.504 -2.755 4.738
-5.466 1.115 -1.087

---

> total magnetic moment of number 4 (NiHgS2)?

0.0 μB/f.u.

---

Repeat the fifth record exactly.
! La3Ag2 (meta-GGA SCAN, PBEsol geometry); values from VASP
! relative energy among the computed polymorphs: 30.5 meV/atom
! formation energy: -64 kJ/mol of formula units
! total magnetic moment: 0.0 μB/f.u.
! DFT total energy: -192.7 eV for the cell shown
&SYSTEM
  ibrav = 0, nat = 5, ntyp = 2
/
ATOMIC_SPECIES
La 138.91 La.upf
Ag 107.87 Ag.upf
ATOMIC_POSITIONS crystal
La 0.376 0.376 0.751
La 0.624 0.624 0.249
La 0.000 0.000 0.000
Ag 0.218 0.218 0.436
Ag 0.782 0.782 0.564
CELL_PARAMETERS angstrom
3.667 0.000 0.000
0.000 3.667 0.000
-1.834 -1.834 10.043

---

> DFT total energy of number 5 (La3Ag2)?

-192.7 eV for the cell shown